## La5ReI5 (GGA-PBE)

Data for a relaxed structure of La5ReI5.

Unit cell a=14.2447 b=6.4521 c=9.3787 alpha=90.00 beta=109.76 gamma=90.00
Space group C2/m (No. 12)
Asymmetric unit:
La 0.0000 0.0000 0.0000 x2
La 0.1378 0.5000 0.2753 x4
La 0.1543 0.5000 0.8722 x4
Re 0.0000 0.5000 0.0000 x2
I 0.0000 0.5000 0.5000 x2
I 0.1508 0.0000 0.7956 x4
I 0.1813 0.0000 0.3455 x4

## LaReI3 (GGA-PBE)

Data for a relaxed structure of LaReI3.

The energy above the most stable polymorph in this dataset is 0.0441 eV per atom.

Unit cell a=6.2567 b=6.2567 c=6.2567 alpha=90.00 beta=90.00 gamma=90.00
Space group Pm-3m (No. 221)
Asymmetric unit:
La 0.0000 0.0000 0.0000 x1
Re 0.5000 0.5000 0.5000 x1
I 0.0000 0.0000 0.5000 x3

## LaReI3 (GGA-PBE)

Data for a relaxed structure of LaReI3.

The energy above the most stable polymorph in this dataset is 0.0000 eV per atom.

Unit cell a=5.3807 b=5.3807 c=5.3807 alpha=90.00 beta=90.00 gamma=90.00
Space group Pm-3m (No. 221)
Asymmetric unit:
La 0.0000 0.0000 0.0000 x1
Re 0.5000 0.5000 0.5000 x1
I 0.0000 0.5000 0.5000 x3

## La2ReI (GGA-PBE)

Data for a relaxed structure of La2ReI.

The energy above the most stable polymorph in this dataset is 0.0000 eV per atom.

Unit cell a=7.8260 b=7.8260 c=9.4271 alpha=90.00 beta=90.00 gamma=90.00
Space group I-42d (No. 122)
Asymmetric unit:
La 0.1671 0.2500 0.1250 x8
Re 0.0000 0.0000 0.0000 x4
I 0.0000 0.0000 0.5000 x4

## La3ReI (GGA-PBE)

Data for a relaxed structure of La3ReI.

Unit cell a=5.7653 b=5.7653 c=5.7653 alpha=90.00 beta=90.00 gamma=90.00
Space group Pm-3m (No. 221)
Asymmetric unit:
La 0.0000 0.0000 0.5000 x3
Re 0.5000 0.5000 0.5000 x1
I 0.0000 0.0000 0.0000 x1

## La2ReI (GGA-PBE)

Data for a relaxed structure of La2ReI.

The energy above the most stable polymorph in this dataset is 0.1785 eV per atom.

Unit cell a=7.5841 b=7.5841 c=7.5841 alpha=90.00 beta=90.00 gamma=90.00
Space group Fm-3m (No. 225)
Asymmetric unit:
La 0.2500 0.2500 0.2500 x8
Re 0.0000 0.0000 0.0000 x4
I 0.0000 0.0000 0.5000 x4

Results for energy relative to the elements, uncorrected: -0.942, 0.382, 0.338, -0.034, 1.126, 0.145 (in eV per atom, following the order of the records).